Version a
The following is a DFT calculation (PBE) of La3CuNi after structural relaxation.

## Properties
**Calculated volume**: 27.056 Å³/atom

a b c (Å): 6.412 6.412 7.941
angles (deg): 71.67 71.67 63.11
Sites, in units of the cell vectors:
1 Cu 0.689 0.311 0.500
2 Cu 0.311 0.689 0.500
3 Ni 0.309 0.691 0.000
4 Ni 0.691 0.309 0.000
5 La 0.689 0.689 0.144
6 La 0.008 0.008 0.762
7 La 0.311 0.311 0.856
8 La 0.311 0.311 0.332
9 La 0.689 0.689 0.668
10 La 0.992 0.992 0.238



Version b
The following is a DFT calculation (PBE) of La3CuNi after structural relaxation.

## Properties
**Calculated volume**: 31.538 Å³/atom

a b c (Å): 5.403 5.403 5.403
angles (deg): 90.00 90.00 90.00
Sites, in units of the cell vectors:
1 La 0.500 0.000 0.000
2 La 0.000 0.000 0.500
3 La 0.000 0.500 0.000
4 Cu 0.500 0.500 0.500
5 Ni 0.000 0.000 0.000



Q: What are the energies relative to the best structure? A: version a 0.000; version b 0.329, in eV/atom.



Version a
The following is a DFT calculation (PBE) of LaCu4Ni after structural relaxation.

## Properties
**Calculated volume**: 15.244 Å³/atom

a b c (Å): 5.057 5.057 5.057
angles (deg): 60.00 60.00 60.00
Sites, in units of the cell vectors:
1 Ni 0.000 0.000 0.000
2 Cu 0.373 0.373 0.373
3 Cu 0.373 0.373 0.881
4 Cu 0.373 0.881 0.373
5 Cu 0.881 0.373 0.373
6 La 0.750 0.750 0.750



Version b
The following is a DFT calculation (PBE) of LaCu4Ni after structural relaxation.

## Properties
**Calculated volume**: 16.078 Å³/atom

a b c (Å): 3.876 6.777 7.346
angles (deg): 90.00 90.00 90.00
Sites, in units of the cell vectors:
1 Cu 0.500 0.260 0.548
2 Cu 0.500 0.039 0.250
3 Cu 0.500 0.740 0.452
4 Cu 0.500 0.740 0.048
5 Cu 0.500 0.961 0.750
6 Cu 0.500 0.260 0.952
7 Cu 0.000 0.000 0.000
8 Cu 0.000 0.000 0.500
9 Ni 0.000 0.780 0.250
10 Ni 0.000 0.220 0.750
11 La 0.000 0.403 0.250
12 La 0.000 0.597 0.750



Q: What are the energies relative to the best structure? A: version a 0.000; version b 0.012, in eV/atom.



Version a
The following is a DFT calculation (PBE) of LaTbCuNi after structural relaxation.

## Properties
**Calculated volume**: 22.623 Å³/atom

a b c (Å): 3.799 4.424 5.709
angles (deg): 90.00 109.43 90.00
Sites, in units of the cell vectors:
1 Ni 0.435 0.000 0.870
2 Tb 0.133 0.000 0.266
3 La 0.860 0.500 0.719
4 Cu 0.572 0.500 0.144



Version b
The following is a DFT calculation (PBE) of LaTbCuNi after structural relaxation.

## Properties
**Calculated volume**: 21.913 Å³/atom

a b c (Å): 4.986 4.986 4.986
angles (deg): 60.00 60.00 60.00
Sites, in units of the cell vectors:
1 Cu 0.250 0.250 0.250
2 Tb 0.000 0.000 0.000
3 La 0.500 0.500 0.500
4 Ni 0.750 0.750 0.750



Q: What are the energies relative to the best structure? A: version a 0.000; version b 0.059, in eV/atom.



Version a
The following is a DFT calculation (PBE) of LaYCuNi after structural relaxation.

## Properties
**Calculated volume**: 22.608 Å³/atom

a b c (Å): 3.807 4.413 5.709
angles (deg): 90.00 109.48 90.00
Sites, in units of the cell vectors:
1 La 0.860 0.500 0.721
2 Cu 0.573 0.500 0.145
3 Y 0.134 0.000 0.268
4 Ni 0.433 0.000 0.866



Version b
The following is a DFT calculation (PBE) of LaYCuNi after structural relaxation.

## Properties
**Calculated volume**: 21.928 Å³/atom

a b c (Å): 4.987 4.987 4.987
angles (deg): 60.00 60.00 60.00
Sites, in units of the cell vectors:
1 Y 0.750 0.750 0.750
2 Cu 0.000 0.000 0.000
3 La 0.250 0.250 0.250
4 Ni 0.500 0.500 0.500



Q: What are the energies relative to the best structure? A: version a 0.000; version b 0.061, in eV/atom.



Version a
The following is a DFT calculation (PBE) of LaZn2CuNi after structural relaxation.

## Properties
**Calculated volume**: 19.468 Å³/atom

a b c (Å): 4.553 4.553 4.696
angles (deg): 90.00 90.00 90.00
Sites, in units of the cell vectors:
1 Ni 0.000 0.000 0.000
2 Cu 0.000 0.000 0.500
3 Zn 0.000 0.500 0.000
4 Zn 0.500 0.000 0.000
5 La 0.500 0.500 0.500



Version b
The following is a DFT calculation (PBE) of LaZn2CuNi after structural relaxation.

## Properties
**Calculated volume**: 18.044 Å³/atom

a b c (Å): 4.134 4.053 6.114
angles (deg): 109.36 109.76 90.00
Sites, in units of the cell vectors:
1 La 0.431 0.431 0.862
2 Ni 0.831 0.831 0.661
3 Cu 0.198 0.698 0.395
4 Zn 0.057 0.057 0.115
5 Zn 0.696 0.196 0.391



Q: What are the energies relative to the best structure? A: version a 0.142; version b 0.000, in eV/atom.



Version a
The following is a DFT calculation (PBE) of La2CuO4 after structural relaxation.

## Properties
**Calculated volume**: 14.575 Å³/atom

a b c (Å): 6.943 6.943 6.943
angles (deg): 146.40 146.40 48.25
Sites, in units of the cell vectors:
1 O 0.000 0.500 0.500
2 O 0.500 0.000 0.500
3 O 0.250 0.750 0.500
4 O 0.750 0.250 0.500
5 La 0.351 0.351 0.000
6 La 0.649 0.649 0.000
7 Cu 0.000 0.000 0.000



Version b
The following is a DFT calculation (PBE) of La2CuO4 after structural relaxation.

## Properties
**Calculated volume**: 13.967 Å³/atom

a b c (Å): 7.084 7.084 5.584
angles (deg): 90.00 90.00 135.76
Sites, in units of the cell vectors:
1 Cu 0.000 0.000 0.000
2 Cu 0.500 0.500 0.500
3 O 0.812 0.188 0.932
4 O 0.737 0.763 0.250
5 O 0.263 0.237 0.750
6 O 0.763 0.737 0.750
7 O 0.188 0.812 0.068
8 O 0.237 0.263 0.250
9 O 0.688 0.312 0.432
10 O 0.312 0.688 0.568
11 La 0.639 0.361 0.016
12 La 0.861 0.139 0.516
13 La 0.139 0.861 0.484
14 La 0.361 0.639 0.984



Q: What are the energies relative to the best structure? A: version a 0.000; version b 0.063, in eV/atom.



Version a
The following is a DFT calculation (PBE) of La8Cu3O16 after structural relaxation.

## Properties
**Calculated volume**: 13.844 Å³/atom

a b c (Å): 7.093 7.546 8.431
angles (deg): 116.69 96.72 105.39
Sites, in units of the cell vectors:
1 Cu 0.999 0.498 0.999
2 Cu 0.000 0.998 0.999
3 Cu 0.000 0.248 0.499
4 La 0.277 0.733 0.811
5 La 0.270 0.489 0.324
6 La 0.723 0.525 0.673
7 La 0.722 0.764 0.186
8 La 0.279 0.214 0.810
9 La 0.730 0.008 0.673
10 La 0.276 0.972 0.325
11 La 0.721 0.284 0.188
12 O 0.000 0.005 0.497
13 O 0.004 0.877 0.755
14 O 0.007 0.375 0.751
15 O 0.000 0.749 0.999
16 O 0.634 0.852 0.894
17 O 0.374 0.889 0.591
18 O 0.633 0.114 0.409
19 O 0.995 0.620 0.243
20 O 0.999 0.248 0.999
21 O 0.999 0.492 0.501
22 O 0.992 0.121 0.246
23 O 0.625 0.608 0.407
24 O 0.366 0.382 0.587
25 O 0.365 0.643 0.103
26 O 0.634 0.367 0.914
27 O 0.365 0.131 0.083



Version b
The following is a DFT calculation (PBE) of La8Cu3O16 after structural relaxation.

## Properties
**Calculated volume**: 15.636 Å³/atom

a b c (Å): 6.973 8.055 9.145
angles (deg): 115.42 97.71 107.26
Sites, in units of the cell vectors:
1 La 0.688 0.767 0.673
2 La 0.695 0.519 0.177
3 La 0.305 0.481 0.823
4 La 0.301 0.999 0.833
5 La 0.299 0.743 0.326
6 La 0.699 0.001 0.167
7 La 0.701 0.257 0.674
8 La 0.312 0.233 0.327
9 Cu 0.001 0.758 0.016
10 Cu 0.999 0.242 0.984
11 Cu 0.000 0.000 0.500
12 O 0.996 0.692 0.625
13 O 0.000 0.500 0.000
14 O 0.000 0.124 0.731
15 O 0.004 0.308 0.375
16 O 0.000 0.876 0.269
17 O 0.511 0.437 0.627
18 O 0.000 0.000 0.000
19 O 0.487 0.807 0.872
20 O 0.493 0.680 0.122
21 O 0.492 0.944 0.625
22 O 0.992 0.736 0.482
23 O 0.508 0.056 0.375
24 O 0.489 0.563 0.373
25 O 0.008 0.264 0.518
26 O 0.513 0.193 0.128
27 O 0.507 0.320 0.878



Q: What are the energies relative to the best structure? A: version a 0.000; version b 0.063, in eV/atom.



Version a
The following is a DFT calculation (PBE) of LaCu2Os after structural relaxation.

## Properties
**Calculated volume**: 17.582 Å³/atom

a b c (Å): 5.015 5.015 5.015
angles (deg): 130.98 130.98 71.84
Sites, in units of the cell vectors:
1 Cu 0.250 0.750 0.500
2 Cu 0.000 0.000 0.000
3 La 0.500 0.500 0.000
4 Os 0.750 0.250 0.500



Version b
The following is a DFT calculation (PBE) of LaCu2Os after structural relaxation.

## Properties
**Calculated volume**: 21.126 Å³/atom

a b c (Å): 4.364 4.364 9.395
angles (deg): 76.57 76.57 90.00
Sites, in units of the cell vectors:
1 Cu 0.957 0.625 0.250
2 Cu 0.875 0.043 0.750
3 Cu 0.793 0.125 0.250
4 Cu 0.375 0.207 0.750
5 Os 0.750 0.250 0.500
6 Os 0.000 0.000 0.000
7 La 0.500 0.500 0.000
8 La 0.250 0.750 0.500



Q: What are the energies relative to the best structure? A: version a 0.029; version b 0.000, in eV/atom.